Record 1
First-principles (PBE) data for an optimized crystal structure of Li7DyCd4, as listed in the Alexandria database.

a b c (Å): 7.5253 7.5253 8.3556
angles (deg): 123.13 123.13 39.42
Last column: nearest neighbours and their distance in Å.
Atoms (fractional coordinates):
Li (0.0000, 0.0000, 0.0000)  4 Cd 2.53-2.67, 2 Dy 2.54
Li (0.2207, 0.2207, 0.6890)  4 Cd 2.66-2.93
Li (0.2866, 0.2866, 0.1137)  4 Cd 2.94-3.18, 6 Li 2.97-3.10
Li (0.4263, 0.4263, 0.5551)  2 Li 2.73-3.01, 3 Cd 2.75-2.94
Li (0.5737, 0.5737, 0.4449)  2 Li 2.73-3.01, 3 Cd 2.75-2.94
Li (0.7134, 0.7134, 0.8863)  4 Cd 2.94-3.18, 6 Li 2.97-3.10
Li (0.7793, 0.7793, 0.3110)  4 Cd 2.66-2.93
Dy (0.5000, 0.5000, 0.0000)  2 Li 2.54
Cd (0.0475, 0.0475, 0.7334)  4 Li 2.67-2.94
Cd (0.1883, 0.1883, 0.3418)  3 Li 2.53-2.75
Cd (0.8117, 0.8117, 0.6582)  3 Li 2.53-2.75
Cd (0.9525, 0.9525, 0.2666)  4 Li 2.67-2.94

Computed properties:
ΔE_f: -29 kJ/mol of formula units
total moment: 0.0 μB per formula unit

***

Record 2
First-principles (PBE) data for an optimized crystal structure of PdPt2I8, as listed in the Alexandria database.

a b c (Å): 7.7311 7.7311 10.9676
angles (deg): 115.01 115.01 77.22
Last column: nearest neighbours and their distance in Å.
Atoms (fractional coordinates):
Pd (0.0000, 0.0000, 0.0000)  4 I 2.60
Pt (0.3084, 0.3084, 0.4093)  5 I 2.62-2.78
Pt (0.6916, 0.6916, 0.5907)  5 I 2.62-2.78
I (0.0425, 0.6702, 0.8070)  1 Pd 2.60, 1 Pt 2.78
I (0.1628, 0.1628, 0.5208)  1 Pt 2.63
I (0.3298, 0.9575, 0.1930)  1 Pd 2.60, 1 Pt 2.78
I (0.4796, 0.4796, 0.3281)  2 Pt 2.62-2.66
I (0.5204, 0.5204, 0.6719)  2 Pt 2.62-2.66
I (0.6702, 0.0425, 0.8070)  1 Pd 2.60, 1 Pt 2.78
I (0.8372, 0.8372, 0.4792)  1 Pt 2.63
I (0.9575, 0.3298, 0.1930)  1 Pd 2.60, 1 Pt 2.78

Computed properties:
total moment: 0.0 μB per formula unit
formation energy without anion corrections: -0.07 eV/atom

***

Record 3
First-principles (PBE) data for an optimized crystal structure of CoCuBi2, as listed in the Alexandria database.

a b c (Å): 6.5561 6.5561 6.5561
angles (deg): 119.37 119.37 91.09
Last column: nearest neighbours and their distance in Å.
Atoms (fractional coordinates):
Co (0.0000, 0.0000, 0.0000)  4 Bi 2.53
Co (0.7500, 0.2500, 0.5000)  4 Bi 2.53
Cu (0.2500, 0.7500, 0.5000)  4 Bi 2.68
Cu (0.5000, 0.5000, 0.0000)  4 Bi 2.68
Bi (0.1075, 0.6250, 0.9825)  2 Co 2.53, 2 Cu 2.68
Bi (0.3750, 0.3575, 0.4825)  2 Co 2.53, 2 Cu 2.68
Bi (0.6425, 0.1250, 0.0175)  2 Co 2.53, 2 Cu 2.68
Bi (0.8750, 0.8925, 0.5175)  2 Co 2.53, 2 Cu 2.68

Computed properties:
ΔE_f: 215 kJ/mol of formula units
distance to the lowest polymorph of the same formula: 12.4 kJ/mol of atoms
total moment: 0.0 μB per formula unit

***

Record 4
First-principles (PBE) data for an optimized crystal structure of Dy2Er3Al, as listed in the Alexandria database.

a b c (Å): 7.7577 7.7577 4.8003
angles (deg): 90.00 90.00 144.24
Last column: nearest neighbours and their distance in Å.
Atoms (fractional coordinates):
Dy (0.1592, 0.8408, 0.0000)  2 Al 3.35, 8 Er 3.36-3.53, 2 Dy 3.59
Dy (0.8408, 0.1592, 0.0000)  2 Al 3.35, 8 Er 3.36-3.53, 2 Dy 3.59
Er (0.0000, 0.0000, 0.5000)  4 Dy 3.36, 4 Al 3.38, 4 Er 3.41
Er (0.3350, 0.6650, 0.5000)  6 Dy 3.38-3.53, 4 Er 3.41-3.46, 2 Al 3.42
Er (0.6650, 0.3350, 0.5000)  6 Dy 3.38-3.53, 4 Er 3.41-3.46, 2 Al 3.42
Al (0.5000, 0.5000, 0.0000)  4 Dy 3.35, 8 Er 3.38-3.42

Computed properties:
ΔE_f: -56 kJ/mol of formula units
total moment: 0.0 μB per formula unit

***

Record 5
First-principles (PBE) data for an optimized crystal structure of CoOsRh2, as listed in the Alexandria database.

a b c (Å): 4.6219 4.6219 4.6219
angles (deg): 131.88 131.88 70.42
Last column: nearest neighbours and their distance in Å.
Atoms (fractional coordinates):
Co (0.0000, 0.0000, 0.0000)  8 Rh 2.66-2.67, 4 Os 2.67
Os (0.2500, 0.7500, 0.5000)  8 Rh 2.66-2.67, 4 Co 2.67
Rh (0.5000, 0.5000, 0.0000)  4 Co 2.66, 4 Os 2.67, 4 Rh 2.67
Rh (0.7500, 0.2500, 0.5000)  4 Os 2.66, 4 Rh 2.67, 4 Co 2.67

Computed properties:
ΔE_f: 48 kJ/mol of formula units
distance to the lowest polymorph of the same formula: 4.4 kJ/mol of atoms
total moment: 1.6 μB per formula unit

***

Record 6
First-principles (PBE) data for an optimized crystal structure of YMnSe2N, as listed in the Alexandria database.

a b c (Å): 5.0122 5.0122 3.5863
angles (deg): 90.00 90.00 90.00
Last column: nearest neighbours and their distance in Å.
Atoms (fractional coordinates):
Y (0.0000, 0.0000, 0.0000)  8 Se 3.08
Mn (0.5000, 0.5000, 0.5000)  2 N 1.79
Se (0.0000, 0.5000, 0.5000)  2 Mn 2.51
Se (0.5000, 0.0000, 0.5000)  2 Mn 2.51
N (0.5000, 0.5000, 0.0000)  2 Mn 1.79

Computed properties:
distance to the lowest polymorph of the same formula: 0.0 kJ/mol of atoms
total moment: 1.6 μB per formula unit
formation energy without anion corrections: -0.64 eV/atom

***

Record 7
First-principles (PBE) data for an optimized crystal structure of TbAl4Ga, as listed in the Alexandria database.

a b c (Å): 10.8974 10.8974 10.8974
angles (deg): 152.68 152.68 39.01
Last column: nearest neighbours and their distance in Å.
Atoms (fractional coordinates):
Tb (0.3750, 0.6250, 0.7500)  12 Al 3.24-3.58
Tb (0.6250, 0.3750, 0.2500)  12 Al 3.24-3.58
Al (0.2296, 0.2341, 0.5045)  1 Ga 2.52, 4 Al 2.53-2.71
Al (0.2296, 0.7251, 0.9955)  1 Ga 2.52, 4 Al 2.53-2.71
Al (0.2341, 0.2296, 0.0045)  1 Ga 2.52, 4 Al 2.53-2.71
Al (0.2749, 0.7704, 0.5045)  1 Ga 2.52, 4 Al 2.53-2.71
Al (0.7251, 0.2296, 0.4955)  1 Ga 2.52, 4 Al 2.53-2.71
Al (0.7659, 0.7704, 0.9955)  1 Ga 2.52, 4 Al 2.53-2.71
Al (0.7704, 0.2749, 0.0045)  1 Ga 2.52, 4 Al 2.53-2.71
Al (0.7704, 0.7659, 0.4955)  1 Ga 2.52, 4 Al 2.53-2.71
Ga (0.1250, 0.8750, 0.2500)  4 Al 2.52
Ga (0.8750, 0.1250, 0.7500)  4 Al 2.52

Computed properties:
ΔE_f: 48 kJ/mol of formula units
distance to the lowest polymorph of the same formula: 32.8 kJ/mol of atoms
total moment: 0.0 μB per formula unit

***

Record 8
First-principles (PBE) data for an optimized crystal structure of NaAlSn, as listed in the Alexandria database.

a b c (Å): 5.2808 3.3729 8.1438
angles (deg): 90.00 95.78 90.00
Last column: nearest neighbours and their distance in Å.
Atoms (fractional coordinates):
Na (0.2326, 0.0000, 0.3565)  6 Sn 3.20-3.42, 3 Al 3.35-3.47, 4 Na 3.37-3.56
Na (0.7674, 0.0000, 0.6435)  6 Sn 3.20-3.42, 3 Al 3.35-3.47, 4 Na 3.37-3.56
Al (0.0000, 0.5000, 0.0000)  2 Sn 2.81, 4 Al 3.13
Al (0.5000, 0.0000, 0.0000)  4 Sn 2.95, 4 Al 3.13
Sn (0.2800, 0.5000, 0.7241)  3 Al 2.81-2.95
Sn (0.7200, 0.5000, 0.2759)  3 Al 2.81-2.95

Computed properties:
ΔE_f: 3 kJ/mol of formula units
total moment: 0.0 μB per formula unit

***

Record 9
First-principles (PBE) data for an optimized crystal structure of NaSmTlHg, as listed in the Alexandria database.

a b c (Å): 5.3094 5.3094 5.3094
angles (deg): 60.00 60.00 60.00
Last column: nearest neighbours and their distance in Å.
Atoms (fractional coordinates):
Na (0.0000, 0.0000, 0.0000)  4 Hg 3.25, 4 Tl 3.25
Sm (0.5000, 0.5000, 0.5000)  4 Hg 3.25, 4 Tl 3.25
Tl (0.7500, 0.7500, 0.7500)  4 Na 3.25, 4 Sm 3.25
Hg (0.2500, 0.2500, 0.2500)  4 Na 3.25, 4 Sm 3.25

Computed properties:
ΔE_f: -119 kJ/mol of formula units
total moment: 0.0 μB per formula unit